Below is an optimized crystal structure of ZnHPb, with properties calculated at the PBE level.

a b c (Å): 3.2988 6.2353 5.1865
angles (deg): 89.14 88.75 88.76
With the nearest neighbours (Å) after each atom.
Fractional positions:
Pb 0.6955 0.1242 0.7461  2 H 2.90-3.15, 2 Zn 2.96-3.10
Pb 0.3045 0.8758 0.2539  2 H 2.90-3.15, 2 Zn 2.96-3.10
H 0.0017 0.3542 0.1801  2 Zn 1.75
H 0.9983 0.6458 0.8199  2 Zn 1.75
Zn 0.4962 0.4094 0.2699  2 H 1.75
Zn 0.5038 0.5906 0.7301  2 H 1.75

Properties
D(E_F) in states/eV/cell: 1.789
Relative energy among the computed polymorphs in eV/atom: 0.000



Below is an optimized crystal structure of ZnHPb3, with properties calculated at the PBE level.

a b c (Å): 4.9326 4.9326 4.9326
angles (deg): 90.00 90.00 90.00
With the nearest neighbours (Å) after each atom.
Fractional positions:
Pb 0.0000 0.5000 0.0000  2 H 2.47
Pb 0.0000 0.0000 0.5000  2 H 2.47
Pb 0.5000 0.0000 0.0000  2 H 2.47
H 0.0000 0.0000 0.0000  6 Pb 2.47
Zn 0.5000 0.5000 0.5000  12 Pb 3.49

Properties
D(E_F) in states/eV/cell: 3.593
Final energy in eV for the cell shown: -14.2



Below is an optimized crystal structure of ZnHPb, with properties calculated at the PBE level.

a b c (Å): 3.8121 3.8121 4.8806
angles (deg): 112.99 112.99 90.00
With the nearest neighbours (Å) after each atom.
Fractional positions:
Pb 0.3278 0.3278 0.6557  1 Zn 2.69, 4 H 2.71
H 0.8636 0.8636 0.7272  1 Zn 1.67
Zn 0.6586 0.6586 0.3171  1 H 1.67

Properties
D(E_F) in states/eV/cell: 0.888
Relative energy among the computed polymorphs in eV/atom: 0.167



Below is an optimized crystal structure of ZnH3Pb, with properties calculated at the PBE level.

a b c (Å): 3.8618 3.8618 3.8618
angles (deg): 90.00 90.00 90.00
With the nearest neighbours (Å) after each atom.
Fractional positions:
Pb 0.5000 0.5000 0.5000  12 H 2.73
H 0.0000 0.5000 0.0000  2 Zn 1.93
H 0.0000 0.0000 0.5000  2 Zn 1.93
H 0.5000 0.0000 0.0000  2 Zn 1.93
Zn 0.0000 0.0000 0.0000  6 H 1.93

Properties
D(E_F) in states/eV/cell: 1.121
Relative energy among the computed polymorphs in eV/atom: 0.000



Below is an optimized crystal structure of Zn2HPb, with properties calculated at the PBE level.

a b c (Å): 4.6841 4.6841 4.6841
angles (deg): 60.00 60.00 60.00
With the nearest neighbours (Å) after each atom.
Fractional positions:
Pb 0.5000 0.5000 0.5000  8 Zn 2.87
H 0.0000 0.0000 0.0000  8 Zn 2.87
Zn 0.2500 0.2500 0.2500  4 H 2.87, 4 Pb 2.87
Zn 0.7500 0.7500 0.7500  4 H 2.87, 4 Pb 2.87

Properties
D(E_F) in states/eV/cell: 2.270
Relative energy among the computed polymorphs in eV/atom: 0.357



Below is an optimized crystal structure of ZnH3Pb, with properties calculated at the PBE level.

a b c (Å): 4.2073 4.2073 4.2073
angles (deg): 90.00 90.00 90.00
With the nearest neighbours (Å) after each atom.
Fractional positions:
Pb 0.0000 0.0000 0.0000  6 H 2.10
H 0.0000 0.5000 0.0000  2 Pb 2.10
H 0.0000 0.0000 0.5000  2 Pb 2.10
H 0.5000 0.0000 0.0000  2 Pb 2.10
Zn 0.5000 0.5000 0.5000  12 H 2.97

Properties
D(E_F) in states/eV/cell: 0.683
Relative energy among the computed polymorphs in eV/atom: 0.188



Below is an optimized crystal structure of Zr2ZnHPb, with properties calculated at the PBE level.

a b c (Å): 4.4054 4.4054 4.4490
angles (deg): 90.00 90.00 90.00
With the nearest neighbours (Å) after each atom.
Fractional positions:
Pb 0.5000 0.5000 0.5000  4 Zn 3.12, 8 Zr 3.13
H 0.0000 0.0000 0.0000  4 Zr 2.20, 2 Zn 2.22
Zn 0.0000 0.0000 0.5000  2 H 2.22
Zr 0.0000 0.5000 0.0000  2 H 2.20
Zr 0.5000 0.0000 0.0000  2 H 2.20

Properties
D(E_F) in states/eV/cell: 1.442
Final energy in eV for the cell shown: -26.4



Below is an optimized crystal structure of Zr3HPb, with properties calculated at the PBE level.

a b c (Å): 5.1030 6.0208 6.3448
angles (deg): 78.05 89.99 90.00
With the nearest neighbours (Å) after each atom.
Fractional positions:
Pb 0.4297 0.9234 0.8208  11 Zr 3.01-3.34, 1 H 3.25
Pb 0.9296 0.1948 0.2779  11 Zr 3.01-3.34, 1 H 3.25
H 0.6670 0.4603 0.7089  4 Zr 2.01-2.11
H 0.1669 0.6578 0.3894  4 Zr 2.01-2.11
Zr 0.9326 0.2113 0.7890  1 H 2.01
Zr 0.9277 0.7253 0.6303  2 H 2.06
Zr 0.4276 0.3928 0.4683  2 H 2.06
Zr 0.9229 0.7010 0.1154  1 H 2.11
Zr 0.4230 0.4171 0.9832  1 H 2.11
Zr 0.4325 0.9068 0.3097  1 H 2.01

Properties
D(E_F) in states/eV/cell: 8.127
Relative energy among the computed polymorphs in eV/atom: 0.016



Number 1: density 8.52 Mg/m³. Number 2: density 9.52 Mg/m³. Number 3: density 7.68 Mg/m³. Number 4: density 7.95 Mg/m³. Number 5: density 7.75 Mg/m³. Number 6: density 6.15 Mg/m³. Number 7: density 8.77 Mg/m³. Number 8: density 8.39 Mg/m³.